(1)
VASP calculation (PBE-GGA) on crystalline Al2InBiAu at its relaxed geometry.

The structure belongs to space group P4/mmm (No. 123); the cell edges are 5.444, 5.444 and 5.579 Å and the angles 90.00°, 90.00° and 90.00°. The distinct sites, in fractional coordinates, are Al at (0.000, 0.500, 0.000), In at (0.000, 0.000, 0.500), Bi at (0.500, 0.500, 0.000) and Au at (0.500, 0.500, 0.500).

The formation energy comes out at 766 meV/atom. For the total energy, the calculation gives -0.19919 Ry/atom. The value obtained for the total magnetic moment is 0.0 μB per cell. Its theoretical density is 5.8 g/cm3.

---

(2)
VASP calculation (PBE-GGA) on crystalline AlInBi2Au at its relaxed geometry.

The structure belongs to space group P4/mmm (No. 123); the cell edges are 5.820, 5.820 and 5.121 Å and the angles 90.00°, 90.00° and 90.00°. The distinct sites, in fractional coordinates, are Al at (0.000, 0.000, 0.000), In at (0.500, 0.500, 0.500), Bi at (0.000, 0.500, 0.500) and Au at (0.500, 0.500, 0.000).

The formation energy comes out at 715 meV/atom. For the total energy, the calculation gives -0.20498 Ry/atom. The value obtained for the total magnetic moment is 0.0 μB per cell. Its theoretical density is 7.2 g/cm3.

---

(3)
VASP calculation (PBE-GGA) on crystalline AlBiIr2Au at its relaxed geometry.

The structure belongs to space group P4/mmm (No. 123); the cell edges are 5.043, 5.043 and 4.518 Å and the angles 90.00°, 90.00° and 90.00°. The distinct sites, in fractional coordinates, are Al at (0.000, 0.000, 0.000), Bi at (0.500, 0.500, 0.000), Ir at (0.000, 0.500, 0.500) and Au at (0.000, 0.000, 0.500).

The formation energy comes out at 1150 meV/atom. For the total energy, the calculation gives -0.33624 Ry/atom. The value obtained for the total magnetic moment is 0.1 μB per cell. Its theoretical density is 11.8 g/cm3.

---

(4)
VASP calculation (PBE-GGA) on crystalline Li2AlBiAu at its relaxed geometry.

The structure belongs to space group P4/mmm (No. 123); the cell edges are 5.214, 5.214 and 5.487 Å and the angles 90.00°, 90.00° and 90.00°. The distinct sites, in fractional coordinates, are Li at (0.000, 0.500, 0.000), Al at (0.000, 0.000, 0.500), Bi at (0.000, 0.000, 0.000) and Au at (0.500, 0.500, 0.500).

The formation energy comes out at 241 meV/atom. For the total energy, the calculation gives -0.19876 Ry/atom. The value obtained for the total magnetic moment is 0.0 μB per cell. Its theoretical density is 5.0 g/cm3.

---

(5)
VASP calculation (PBE-GGA) on crystalline Mg2AlBiAu at its relaxed geometry.

The structure belongs to space group P4/mmm (No. 123); the cell edges are 5.515, 5.515 and 5.393 Å and the angles 90.00°, 90.00° and 90.00°. The distinct sites, in fractional coordinates, are Mg at (0.000, 0.500, 0.000), Al at (0.000, 0.000, 0.500), Bi at (0.000, 0.000, 0.000) and Au at (0.500, 0.500, 0.500).

The formation energy comes out at 669 meV/atom. For the total energy, the calculation gives -0.15795 Ry/atom. The value obtained for the total magnetic moment is 0.0 μB per cell. Its theoretical density is 4.9 g/cm3.

---

(6)
VASP calculation (PBE-GGA) on crystalline AlBiAu2N at its relaxed geometry.

The structure belongs to space group P4/mmm (No. 123); the cell edges are 5.299, 5.299 and 3.510 Å and the angles 90.00°, 90.00° and 90.00°. The distinct sites, in fractional coordinates, are Al at (0.000, 0.000, 0.000), Bi at (0.500, 0.500, 0.500), Au at (0.000, 0.500, 0.000) and N at (0.000, 0.000, 0.500).

As for the formation energy (no corrections): 0.256 eV per atom. For the total energy, the calculation gives -0.31198 Ry/atom. The value obtained for the total magnetic moment is 0.0 μB per cell. Its theoretical density is 10.8 g/cm3.

---

(7)
VASP calculation (PBE-GGA) on crystalline Na2Al3BiAu12 at its relaxed geometry.

The structure belongs to space group R-3m (No. 166, hexagonal axes); the cell edges are 8.6880, 8.6880 and 18.2060 Å and the angles 90.00°, 90.00° and 120.00°. The distinct sites, in fractional coordinates, are Na at (0.0000, 0.0000, 0.0871), Al at (0.0000, 0.5000, 0.0000), Bi at (0.0000, 0.0000, 0.5000), Au at (0.0199, 0.5099, 0.3709) and Au at (0.0471, 0.5236, 0.8622).

The formation energy comes out at -21 meV/atom. For the total energy, the calculation gives -0.23463 Ry/atom. The value obtained for the total magnetic moment is 0.0 μB per cell. Its theoretical density is 11.3 g/cm3.

---

(8)
VASP calculation (PBE-GGA) on crystalline Al2NiBiAu at its relaxed geometry.

The structure belongs to space group P4/mmm (No. 123); the cell edges are 5.496, 5.496 and 4.733 Å and the angles 90.00°, 90.00° and 90.00°. The distinct sites, in fractional coordinates, are Al at (0.000, 0.500, 0.000), Ni at (0.000, 0.000, 0.500), Bi at (0.000, 0.000, 0.000) and Au at (0.500, 0.500, 0.500).

The formation energy comes out at 1030 meV/atom. For the total energy, the calculation gives -0.22457 Ry/atom. The value obtained for the total magnetic moment is 0.0 μB per cell. Its theoretical density is 6.0 g/cm3.